# 1
TbSmTmMg | GGA-PBE | optimized geometry

The space group is P4mm (No. 99) and the conventional cell measures 3.6050, 3.6050 and 9.1703 Å, with angles of 90.00, 90.00 and 90.00 degrees. The distinct sites, in fractional coordinates, are Tb at (0.0000, 0.0000, 0.0000), Sm at (0.5000, 0.5000, 0.2721), Tm at (0.0000, 0.0000, 0.5395) and Mg at (0.5000, 0.5000, 0.7658).

Its formation energy is -0.59 kcal/mol of atoms. The energy above the most stable polymorph in this dataset is 0.00 eV per formula unit.

# 2
TbSm2Tm2Mg5 | GGA-PBE | optimized geometry

The space group is P4/mbm (No. 127) and the conventional cell measures 10.5822, 10.5822 and 5.0632 Å, with angles of 90.00, 90.00 and 90.00 degrees. The distinct sites, in fractional coordinates, are Tb at (0.0000, 0.0000, 0.0000), Sm at (0.1776, 0.3224, 0.0000), Tm at (0.1186, 0.6186, 0.0000), Mg at (0.0000, 0.5000, 0.5000) and Mg at (0.0702, 0.8012, 0.5000).

Its formation energy is 1.06 kcal/mol of atoms.

# 3
TbSm4Tm2Mg | GGA-PBE | optimized geometry

The space group is P4/mmm (No. 123) and the conventional cell measures 5.0283, 5.0283 and 9.8906 Å, with angles of 90.00, 90.00 and 90.00 degrees. The distinct sites, in fractional coordinates, are Tb at (0.0000, 0.0000, 0.0000), Sm at (0.0000, 0.5000, 0.2546), Tm at (0.0000, 0.0000, 0.5000), Tm at (0.5000, 0.5000, 0.0000) and Mg at (0.5000, 0.5000, 0.5000).

Its formation energy is 0.23 kcal/mol of atoms.

# 4
TbSmYMg | GGA-PBE | optimized geometry

The space group is F-43m (No. 216) and the conventional cell measures 7.8504, 7.8504 and 7.8504 Å, with angles of 90.00, 90.00 and 90.00 degrees. The distinct sites, in fractional coordinates, are Tb at (0.0000, 0.0000, 0.0000), Sm at (0.2500, 0.2500, 0.2500), Y at (0.2500, 0.2500, 0.7500) and Mg at (0.0000, 0.0000, 0.5000).

Its formation energy is 1.10 kcal/mol of atoms. The energy above the most stable polymorph in this dataset is 0.33 eV per formula unit.

# 5
Tb2SmY2Mg | GGA-PBE | optimized geometry

The space group is Pnnm (No. 58) and the conventional cell measures 10.4629, 11.7438 and 3.6107 Å, with angles of 90.00, 90.00 and 90.00 degrees. The distinct sites, in fractional coordinates, are Tb at (0.0829, 0.2273, 0.0000), Sm at (0.0000, 0.0000, 0.5000), Y at (0.2457, 0.4309, 0.5000) and Mg at (0.0000, 0.5000, 0.0000).

Its formation energy is 11.15 kcal/mol of atoms.

# 6
Tb6Sm2Y3Mg | GGA-PBE | optimized geometry

The space group is C2/m (No. 12) and the conventional cell measures 6.1504, 10.6663 and 11.7635 Å, with angles of 90.00, 100.12 and 90.00 degrees. The distinct sites, in fractional coordinates, are Tb at (0.2487, 0.1661, 0.2496), Tb at (0.2495, 0.0000, 0.7494), Sm at (0.0000, 0.3335, 0.0000), Y at (0.0000, 0.1656, 0.5000), Y at (0.0000, 0.5000, 0.5000) and Mg at (0.0000, 0.0000, 0.0000).

Its formation energy is 0.52 kcal/mol of atoms.

# 7
TbSm2Y2Mg5 | GGA-PBE | optimized geometry

The space group is P4/mbm (No. 127) and the conventional cell measures 10.6478, 10.6478 and 5.1085 Å, with angles of 90.00, 90.00 and 90.00 degrees. The distinct sites, in fractional coordinates, are Tb at (0.0000, 0.0000, 0.0000), Sm at (0.1217, 0.3783, 0.0000), Y at (0.1770, 0.6770, 0.0000), Mg at (0.0000, 0.5000, 0.5000) and Mg at (0.0740, 0.1936, 0.5000).

Its formation energy is 1.89 kcal/mol of atoms.

# 8
TbSmYMg | GGA-PBE | optimized geometry

The space group is P4mm (No. 99) and the conventional cell measures 3.6425, 3.6425 and 9.1403 Å, with angles of 90.00, 90.00 and 90.00 degrees. The distinct sites, in fractional coordinates, are Tb at (0.0000, 0.0000, 0.0000), Sm at (0.5000, 0.5000, 0.7305), Y at (0.0000, 0.0000, 0.4574) and Mg at (0.5000, 0.5000, 0.2295).

Its formation energy is -0.81 kcal/mol of atoms. The energy above the most stable polymorph in this dataset is 0.00 eV per formula unit.

# 9
Tb6Sm3Y2Mg | GGA-PBE | optimized geometry

The space group is C2/m (No. 12) and the conventional cell measures 6.1689, 10.6937 and 11.7633 Å, with angles of 90.00, 100.15 and 90.00 degrees. The distinct sites, in fractional coordinates, are Tb at (0.2472, 0.1660, 0.2467), Tb at (0.2492, 0.5000, 0.2479), Sm at (0.0000, 0.1662, 0.5000), Sm at (0.0000, 0.5000, 0.5000), Y at (0.0000, 0.3336, 0.0000) and Mg at (0.0000, 0.0000, 0.0000).

Its formation energy is 0.64 kcal/mol of atoms.

# 10
TbSm6Y2Mg | GGA-PBE | optimized geometry

The space group is C2/c (No. 15) and the conventional cell measures 9.3083, 15.9361 and 8.8401 Å, with angles of 90.00, 91.58 and 90.00 degrees. The distinct sites, in fractional coordinates, are Tb at (0.0000, 0.0365, 0.2500), Sm at (0.0445, 0.1586, 0.9475), Sm at (0.0971, 0.3620, 0.0870), Sm at (0.2461, 0.2900, 0.6961), Y at (0.2306, 0.4533, 0.4482) and Mg at (0.0000, 0.4440, 0.7500).

Its formation energy is 2.73 kcal/mol of atoms.

# 11
Tb2Sm2YMg2 | GGA-PBE | optimized geometry

The space group is R-3m (No. 166, hexagonal axes) and the conventional cell measures 5.4835, 5.4835 and 24.2546 Å, with angles of 90.00, 90.00 and 120.00 degrees. The distinct sites, in fractional coordinates, are Tb at (0.0000, 0.0000, 0.0735), Sm at (0.0000, 0.0000, 0.3440), Y at (0.0000, 0.0000, 0.5000) and Mg at (0.0000, 0.0000, 0.2097).

Its formation energy is -0.57 kcal/mol of atoms.

# 12
Tb2SmY2Mg5 | GGA-PBE | optimized geometry

The space group is P4/mbm (No. 127) and the conventional cell measures 10.6398, 10.6398 and 5.1085 Å, with angles of 90.00, 90.00 and 90.00 degrees. The distinct sites, in fractional coordinates, are Tb at (0.1193, 0.3807, 0.0000), Sm at (0.0000, 0.0000, 0.0000), Y at (0.1780, 0.6780, 0.0000), Mg at (0.0000, 0.5000, 0.5000) and Mg at (0.0747, 0.1964, 0.5000).

Its formation energy is 1.77 kcal/mol of atoms.